Material: SbPbS2F
Method: DFT, GGA-PBE
State: relaxed

Lattice parameters (Å, degrees): 3.994 3.994 14.079 90.00 90.00 90.00
Space group P4/nmm (No. 129, origin choice 2)
One atom of each set of equivalent atoms:
Sb (0.250, 0.250, 0.129) [2 per cell]
Pb (0.250, 0.250, 0.613) [2 per cell]
S (0.250, 0.250, 0.301) [2 per cell]
S (0.250, 0.250, 0.888) [2 per cell]
F (0.250, 0.750, 0.500) [2 per cell]

Computed properties:
ΔE_f (raw) = -936 meV/atom
Calculated total energy = -4.527 eV per atom